Entry from the Alexandria database: a relaxed RbHgGeRh2 crystal (GGA-PBE).

Cell and atoms, written as extended XYZ:
```
5
Lattice="-0.305 -4.041 -2.357 2.692 -2.892 4.609 -4.191 -0.813 1.937" Properties=species:S:1:pos:R:3 pbc="T T T"
Hg -0.902 -3.873 2.094
Rh -0.153 -2.020 -1.179
Ge 0.000 0.000 0.000
Rh -2.095 -0.407 0.969
Rb 1.346 -1.446 2.304
```

Computed properties:
ΔE_f (eV per atom): 0.47